(1)
A plane-wave DFT calculation with PBE was carried out for an optimized crystal structure of Sc2TaFe.

Cell and atoms, written as POSCAR:
```
Sc2TaFe
1.0
-1.5812 2.2969 4.8519
1.5812 -2.2969 4.8519
1.5812 2.2969 -4.8519
Sc Ta Fe
2 1 1
Cartesian
0.0000 0.0000 2.0349
0.0000 0.0000 7.6689
0.0000 2.2969 0.0000
1.5812 0.0000 0.0000
```

**Density of states at the Fermi level**: 2.85 states/eV per cell
**Formation energy**: 0.064 eV per atom
**E above lowest polymorph**: 96.9 meV per atom
**E**: -32.723 eV/cell

(2)
A plane-wave DFT calculation with PBE was carried out for an optimized crystal structure of Sc3TaFe.

Cell and atoms, written as POSCAR:
```
Sc3TaFe
1.0
5.0682 0.0000 0.0000
0.0000 5.0682 0.0000
0.0000 0.0000 5.0682
Sc Ta Fe
3 1 1
Cartesian
0.0000 0.0000 2.5341
0.0000 2.5341 0.0000
2.5341 0.0000 0.0000
0.0000 0.0000 0.0000
2.5341 2.5341 2.5341
```

**Density of states at the Fermi level**: 9.35 states/eV per cell
**Formation energy**: 1.132 eV per atom
**E above lowest polymorph**: 627.9 meV per atom
**E**: -33.650 eV/cell